# 1
VASP calculation (GGA-PBE) on a geometry-optimized RbY3Hg structure.

Structure (CIF):
```
data_RbY3Hg
_chemical_formula_sum 'Rb1 Y3 Hg1'
_symmetry_space_group_name_H-M 'P m -3 m'
_symmetry_Int_Tables_number 221
_symmetry_space_group_name_Hall '-P 4 2 3'
_cell_length_a 5.856
_cell_length_b 5.856
_cell_length_c 5.856
_cell_angle_alpha 90.00
_cell_angle_beta 90.00
_cell_angle_gamma 90.00
loop_
_atom_site_label
_atom_site_fract_x
_atom_site_fract_y
_atom_site_fract_z
Rb1 0.000 0.000 0.000
Y1 0.000 0.500 0.500
Hg1 0.500 0.500 0.500
```

Computed properties:
**ΔE_f**: 314 meV per atom
**E**: -19.092 eV per cell
**Polymorph energy (0 for the lowest one)**: 0 meV/atom

---

# 2
VASP calculation (GGA-PBE) on a geometry-optimized Sr2PmSe3 structure.

Structure (CIF):
```
data_Sr2PmSe3
_chemical_formula_sum 'Sr4 Pm2 Se6'
_symmetry_space_group_name_H-M 'I m m m'
_symmetry_Int_Tables_number 71
_symmetry_space_group_name_Hall '-I 2 2'
_cell_length_a 4.327
_cell_length_b 6.148
_cell_length_c 13.093
_cell_angle_alpha 90.00
_cell_angle_beta 90.00
_cell_angle_gamma 90.00
loop_
_atom_site_label
_atom_site_fract_x
_atom_site_fract_y
_atom_site_fract_z
Sr1 0.000 0.000 0.169
Pm1 0.000 0.000 0.500
Se1 0.000 0.500 0.159
Se2 0.000 0.500 0.500
```

Computed properties:
**E**: -60.526 eV per cell
**Polymorph energy (0 for the lowest one)**: 7 meV/atom
**ΔE_f (raw)**: -44.95 kcal/mol of atoms

---

# 3
VASP calculation (GGA-PBE) on a geometry-optimized KPuCuO5 structure.

Structure (CIF):
```
data_KPuCuO5
_chemical_formula_sum 'K4 Pu4 Cu4 O20'
_symmetry_space_group_name_H-M 'C 1 2/c 1'
_symmetry_Int_Tables_number 15
_symmetry_space_group_name_Hall '-C 2yc'
_cell_length_a 7.430
_cell_length_b 9.740
_cell_length_c 7.982
_cell_angle_alpha 90.00
_cell_angle_beta 117.30
_cell_angle_gamma 90.00
loop_
_atom_site_label
_atom_site_fract_x
_atom_site_fract_y
_atom_site_fract_z
K1 0.000 0.168 0.250
Pu1 0.000 0.500 0.000
Cu1 0.000 0.192 0.750
O1 0.000 0.435 0.250
O2 0.085 0.312 0.605
O3 0.216 0.060 0.895
```

Computed properties:
**E**: -233.618 eV per cell
**ΔE_f (raw)**: -40.61 kcal/mol of atoms